# 1
{"formula": "LiAg4Rh", "functional": "GGA-PBE", "state": "optimized geometry", "ef_mev_per_atom": 245, "sg": "F-43m", "mass_density_g_cm3": 8.14, "cell": [[0.000, 3.807, 3.807], [3.807, 0.000, 3.807], [3.807, 3.807, 0.000]], "species": ["Li", "Ag", "Ag", "Ag", "Ag", "Rh"], "frac_coords": [[0.000, 0.000, 0.000], [0.125, 0.625, 0.625], [0.625, 0.125, 0.625], [0.625, 0.625, 0.125], [0.625, 0.625, 0.625], [0.250, 0.250, 0.250]]}

# 2
{"formula": "Li12Ag2Rh", "functional": "GGA-PBE", "state": "optimized geometry", "ef_mev_per_atom": 98, "sg": "P4/nbm", "mass_density_g_cm3": 2.39, "cell": [[5.263, 0.000, 0.000], [0.000, 5.263, 0.000], [0.000, 0.000, 20.162]], "species": ["Li", "Li", "Li", "Li", "Li", "Li", "Li", "Li", "Li", "Li", "Li", "Li", "Li", "Li", "Li", "Li", "Li", "Li", "Li", "Li", "Li", "Li", "Li", "Li", "Ag", "Ag", "Ag", "Ag", "Rh", "Rh"], "frac_coords": [[0.000, 0.000, 0.082], [0.000, 0.000, 0.918], [0.000, 0.500, 0.082], [0.000, 0.500, 0.918], [0.065, 0.565, 0.437], [0.065, 0.935, 0.563], [0.250, 0.250, 0.212], [0.250, 0.250, 0.338], [0.250, 0.250, 0.662], [0.250, 0.250, 0.788], [0.435, 0.565, 0.563], [0.435, 0.935, 0.437], [0.500, 0.000, 0.082], [0.500, 0.000, 0.918], [0.500, 0.500, 0.082], [0.500, 0.500, 0.918], [0.565, 0.065, 0.563], [0.565, 0.435, 0.437], [0.750, 0.750, 0.212], [0.750, 0.750, 0.338], [0.750, 0.750, 0.662], [0.750, 0.750, 0.788], [0.935, 0.065, 0.437], [0.935, 0.435, 0.563], [0.250, 0.750, 0.305], [0.250, 0.750, 0.695], [0.750, 0.250, 0.305], [0.750, 0.250, 0.695], [0.250, 0.750, 0.000], [0.750, 0.250, 0.000]]}

# 3
{"formula": "Li2AgRh", "functional": "GGA-PBE", "state": "optimized geometry", "ef_mev_per_atom": -106, "sg": "Cm", "mass_density_g_cm3": 6.33, "cell": [[5.019, -1.341, 0.000], [5.019, 1.341, 0.000], [-1.925, 0.000, 4.376]], "species": ["Li", "Li", "Ag", "Rh"], "frac_coords": [[0.000, 0.000, 0.000], [0.237, 0.237, 0.556], [0.749, 0.749, 0.064], [0.494, 0.494, 0.502]]}

# 4
{"formula": "Li2AgRh", "functional": "GGA-PBE", "state": "optimized geometry", "ef_mev_per_atom": -101, "sg": "Immm", "mass_density_g_cm3": 6.36, "cell": [[-1.515, 2.300, 4.208], [1.515, -2.300, 4.208], [1.515, 2.300, -4.208]], "species": ["Li", "Li", "Ag", "Rh"], "frac_coords": [[0.244, 0.244, 0.000], [0.756, 0.756, 0.000], [0.500, 0.000, 0.500], [0.000, 0.500, 0.500]]}

# 5
{"formula": "Li2AgRh", "functional": "GGA-PBE", "state": "optimized geometry", "ef_mev_per_atom": 143, "sg": "I-42d", "mass_density_g_cm3": 6.14, "cell": [[-3.354, 3.354, 2.702], [3.354, -3.354, 2.702], [3.354, 3.354, -2.702]], "species": ["Li", "Li", "Li", "Li", "Ag", "Ag", "Rh", "Rh"], "frac_coords": [[0.118, 0.625, 0.993], [0.375, 0.368, 0.493], [0.632, 0.125, 0.007], [0.875, 0.882, 0.507], [0.250, 0.750, 0.500], [0.500, 0.500, 0.000], [0.000, 0.000, 0.000], [0.750, 0.250, 0.500]]}

# 6
{"formula": "LiAgRh", "functional": "GGA-PBE", "state": "optimized geometry", "ef_mev_per_atom": 902, "sg": "P-6m2", "mass_density_g_cm3": 4.51, "e_above_lowest_polymorph_mev_per_atom": 914, "cell": [[4.376, 0.000, 0.000], [-2.188, 3.790, 0.000], [0.000, 0.000, 4.836]], "species": ["Li", "Ag", "Rh"], "frac_coords": [[0.000, 0.000, 0.000], [0.667, 0.333, 0.500], [0.000, 0.000, 0.500]]}